[1]
Compound: NbGaIr2
Source: the Open Quantum Materials Database
Functional: GGA-PBE
Structure: optimized geometry

Lattice parameters (Å, degrees): 4.4508 4.4508 4.4508 60.00 60.00 60.00
Atoms (fractional coordinates):
Nb (0.0000, 0.0000, 0.0000)
Ga (0.7500, 0.7500, 0.7500)
Ir (0.2500, 0.2500, 0.2500)
Ir (0.5000, 0.5000, 0.5000)

Electronic total energy in eV per atom: -7.8309

---

[2]
Compound: NbGa2Ir
Source: the Open Quantum Materials Database
Functional: GGA-PBE
Structure: optimized geometry

Lattice parameters (Å, degrees): 4.4935 4.4935 4.4935 60.00 60.00 60.00
Atoms (fractional coordinates):
Nb (0.0000, 0.0000, 0.0000)
Ga (0.5000, 0.5000, 0.5000)
Ga (0.7500, 0.7500, 0.7500)
Ir (0.2500, 0.2500, 0.2500)

Electronic total energy in eV per atom: -6.4078

---

[3]
Compound: Nb2GaSbIr2
Source: the Open Quantum Materials Database
Functional: GGA-PBE
Structure: optimized geometry

Lattice parameters (Å, degrees): 7.5181 7.5181 7.5181 131.76 131.76 70.61
Atoms (fractional coordinates):
Nb (0.2446, 0.2446, 0.0000)
Nb (0.5054, 0.0054, 0.5000)
Nb (0.7554, 0.7554, 0.0000)
Nb (0.9946, 0.4946, 0.5000)
Ga (0.0000, 0.0000, 0.0000)
Ga (0.7500, 0.2500, 0.5000)
Sb (0.2500, 0.7500, 0.5000)
Sb (0.5000, 0.5000, 0.0000)
Ir (0.1210, 0.6250, 0.9960)
Ir (0.3750, 0.3710, 0.4960)
Ir (0.6290, 0.1250, 0.0040)
Ir (0.8750, 0.8790, 0.5040)

Electronic total energy in eV per atom: -8.0530

---

[4]
Compound: NdGa5NiIr
Source: the Open Quantum Materials Database
Functional: GGA-PBE
Structure: optimized geometry

Lattice parameters (Å, degrees): 6.4115 6.4115 6.4115 143.30 112.52 79.35
Atoms (fractional coordinates):
Nd (0.0000, 0.0000, 0.0000)
Ga (0.1533, 0.3534, 0.7999)
Ga (0.4670, 0.6561, 0.8109)
Ga (0.5154, 0.0154, 0.5000)
Ga (0.5535, 0.3534, 0.2001)
Ga (0.8452, 0.6561, 0.1891)
Ni (0.7473, 0.2473, 0.5000)
Ir (0.2702, 0.7702, 0.5000)

Electronic total energy in eV per atom: -4.8203

---

[5]
Compound: NdGa2IrPd
Source: the Open Quantum Materials Database
Functional: GGA-PBE
Structure: optimized geometry

Lattice parameters (Å, degrees): 4.2795 4.2795 10.4805 90.00 90.00 90.00
Atoms (fractional coordinates):
Nd (0.2500, 0.2500, 0.2427)
Nd (0.7500, 0.7500, 0.7573)
Ga (0.2500, 0.2500, 0.6291)
Ga (0.2500, 0.7500, 0.0000)
Ga (0.7500, 0.2500, 0.0000)
Ga (0.7500, 0.7500, 0.3709)
Ir (0.2500, 0.2500, 0.8656)
Ir (0.7500, 0.7500, 0.1344)
Pd (0.2500, 0.7500, 0.5000)
Pd (0.7500, 0.2500, 0.5000)

Electronic total energy in eV per atom: -5.7287

---

[6]
Compound: PrNdGa4Ir2
Source: the Open Quantum Materials Database
Functional: GGA-PBE
Structure: optimized geometry

Lattice parameters (Å, degrees): 4.2414 7.1033 5.7030 90.00 111.25 90.00
Atoms (fractional coordinates):
Pr (0.0000, 0.0000, 0.0000)
Nd (0.8630, 0.5000, 0.7255)
Ga (0.2827, 0.1960, 0.5607)
Ga (0.2827, 0.8040, 0.5607)
Ga (0.5808, 0.3054, 0.1656)
Ga (0.5808, 0.6946, 0.1656)
Ir (0.1410, 0.5000, 0.2879)
Ir (0.7222, 0.0000, 0.4381)

Electronic total energy in eV per atom: -5.6145

---

[7]
Compound: NdGaSiIr2
Source: the Open Quantum Materials Database
Functional: GGA-PBE
Structure: optimized geometry

Lattice parameters (Å, degrees): 5.9094 5.9094 5.9094 138.50 138.50 60.14
Atoms (fractional coordinates):
Nd (0.0000, 0.0000, 0.0000)
Ga (0.3807, 0.3807, 0.0000)
Si (0.6308, 0.6308, 0.0000)
Ir (0.2429, 0.7429, 0.5000)
Ir (0.7429, 0.2429, 0.5000)

Energy above the most stable polymorph in this dataset in meV/atom: 15.9
Electronic total energy in eV per atom: -7.0964

---

[8]
Compound: NdGaSiIr2
Source: the Open Quantum Materials Database
Functional: GGA-PBE
Structure: optimized geometry

Lattice parameters (Å, degrees): 4.1754 4.1754 10.3346 90.00 90.00 90.00
Atoms (fractional coordinates):
Nd (0.2500, 0.2500, 0.2491)
Nd (0.7500, 0.7500, 0.7509)
Ga (0.2500, 0.7500, 0.5000)
Ga (0.7500, 0.2500, 0.5000)
Si (0.2500, 0.2500, 0.8763)
Si (0.7500, 0.7500, 0.1237)
Ir (0.2500, 0.2500, 0.6455)
Ir (0.2500, 0.7500, 0.0000)
Ir (0.7500, 0.2500, 0.0000)
Ir (0.7500, 0.7500, 0.3545)

Energy above the most stable polymorph in this dataset in meV/atom: 0.0
Electronic total energy in eV per atom: -7.1123

---

[9]
Compound: NdTmGa4Ir2
Source: the Open Quantum Materials Database
Functional: GGA-PBE
Structure: optimized geometry

Lattice parameters (Å, degrees): 4.2468 7.0327 5.5380 90.00 112.37 90.00
Atoms (fractional coordinates):
Nd (0.0000, 0.0000, 0.0000)
Tm (0.1484, 0.5000, 0.2950)
Ga (0.4299, 0.3069, 0.8574)
Ga (0.4299, 0.6931, 0.8574)
Ga (0.7156, 0.2011, 0.4312)
Ga (0.7156, 0.7989, 0.4312)
Ir (0.2829, 0.0000, 0.5665)
Ir (0.8639, 0.5000, 0.7244)

Electronic total energy in eV per atom: -5.6004

---

[10]
Compound: Ga2NiIr
Source: the Open Quantum Materials Database
Functional: GGA-PBE
Structure: optimized geometry

Lattice parameters (Å, degrees): 4.2726 4.2726 4.2726 60.00 60.00 60.00
Atoms (fractional coordinates):
Ga (0.0000, 0.0000, 0.0000)
Ga (0.2500, 0.2500, 0.2500)
Ni (0.5000, 0.5000, 0.5000)
Ir (0.7500, 0.7500, 0.7500)

Electronic total energy in eV per atom: -5.1901

---

[11]
Compound: GaNiIr
Source: the Open Quantum Materials Database
Functional: GGA-PBE
Structure: optimized geometry

Lattice parameters (Å, degrees): 4.0846 4.0846 4.0846 60.00 60.00 60.00
Atoms (fractional coordinates):
Ga (0.0000, 0.0000, 0.0000)
Ni (0.5000, 0.5000, 0.5000)
Ir (0.2500, 0.2500, 0.2500)

Electronic total energy in eV per atom: -5.7695

---

[12]
Compound: Sc2Ga4NiIr
Source: the Open Quantum Materials Database
Functional: GGA-PBE
Structure: optimized geometry

Lattice parameters (Å, degrees): 6.5902 5.2592 5.2592 46.07 90.00 90.00
Atoms (fractional coordinates):
Sc (0.0000, 0.0000, 0.0000)
Sc (0.5000, 0.1560, 0.1560)
Ga (0.1928, 0.7111, 0.7111)
Ga (0.2904, 0.4416, 0.4416)
Ga (0.7096, 0.4416, 0.4416)
Ga (0.8072, 0.7111, 0.7111)
Ni (0.0000, 0.2816, 0.2816)
Ir (0.5000, 0.8707, 0.8707)

Electronic total energy in eV per atom: -5.5842

---

[13]
Compound: ScGaNiIr
Source: the Open Quantum Materials Database
Functional: GGA-PBE
Structure: optimized geometry

Lattice parameters (Å, degrees): 4.4144 4.4144 4.4144 60.00 60.00 60.00
Atoms (fractional coordinates):
Sc (0.0000, 0.0000, 0.0000)
Ga (0.2500, 0.2500, 0.2500)
Ni (0.5000, 0.5000, 0.5000)
Ir (0.7500, 0.7500, 0.7500)

Electronic total energy in eV per atom: -6.2838